# SiRh4

A geometry-optimized SiRh4 structure (PBE, Alexandria via LeMat-Bulk).

For the formation energy from raw total energies, the calculation gives 0.511 eV/atom.

The space group is Pm-3m (No. 221) and the conventional cell measures 4.359, 4.359 and 4.359 Å, with angles of 90.00, 90.00 and 90.00 degrees. The asymmetric unit holds Si at (0.000, 0.000, 0.000), Rh at (0.000, 0.000, 0.500) and Rh at (0.500, 0.500, 0.500).